1.
NaSn2AsH: optimized geometry, PBE.

Properties
DFT total energy, eV per atom: -2.833
Crystal system: tetragonal
Space group: P4/mmm
Density, g/cm³: 4.8

Cell lengths 5.7449, 5.7449, 3.5077 Å; angles 90.00, 90.00, 90.00 degrees
With the nearest neighbours (Å) after each atom.
Sites, in units of the cell vectors:
Na (0.0000, 0.0000, 0.0000)  2 H 1.75
As (0.5000, 0.5000, 0.5000)  8 Sn 3.37, 2 As 3.51
Sn (0.0000, 0.5000, 0.0000)  2 Na 2.87
Sn (0.5000, 0.0000, 0.0000)  2 Na 2.87
H (0.0000, 0.0000, 0.5000)  2 Na 1.75

---

2.
NaSr2AsH: optimized geometry, PBE.

Properties
DFT total energy, eV per atom: -3.053
Crystal system: tetragonal
Space group: P4/mmm
Density, g/cm³: 3.8

Cell lengths 5.1463, 5.1463, 4.5038 Å; angles 90.00, 90.00, 90.00 degrees
With the nearest neighbours (Å) after each atom.
Sites, in units of the cell vectors:
Sr (0.0000, 0.5000, 0.0000)  2 H 2.57
Sr (0.5000, 0.0000, 0.0000)  2 H 2.57
As (0.5000, 0.5000, 0.5000)  8 Sr 3.42, 4 Na 3.64
H (0.0000, 0.0000, 0.0000)  2 Na 2.25
Na (0.0000, 0.0000, 0.5000)  2 H 2.25

---

3.
NaTl2AsH: optimized geometry, PBE.

Properties
DFT total energy, eV per atom: -2.748
Crystal system: tetragonal
Space group: P4/mmm
Density, g/cm³: 7.7

Cell lengths 4.9269, 4.9269, 4.5063 Å; angles 90.00, 90.00, 90.00 degrees
With the nearest neighbours (Å) after each atom.
Sites, in units of the cell vectors:
Na (0.0000, 0.0000, 0.5000)  2 H 2.25
Tl (0.0000, 0.5000, 0.0000)  2 H 2.46
Tl (0.5000, 0.0000, 0.0000)  2 H 2.46
As (0.5000, 0.5000, 0.5000)  8 Tl 3.34, 4 Na 3.48
H (0.0000, 0.0000, 0.0000)  2 Na 2.25, 4 Tl 2.46

---

4.
Na2TlAsH: optimized geometry, PBE.

Properties
Offset from the most stable computed form, meV per atom: 0
DFT total energy, eV per atom: -2.737
Crystal system: tetragonal
Space group: P4/mmm
Density, g/cm³: 5.5

Cell lengths 4.4352, 4.4352, 5.0469 Å; angles 90.00, 90.00, 90.00 degrees
With the nearest neighbours (Å) after each atom.
Sites, in units of the cell vectors:
Na (0.0000, 0.5000, 0.0000)  2 H 2.22
Na (0.5000, 0.0000, 0.0000)  2 H 2.22
Tl (0.0000, 0.0000, 0.5000)  2 H 2.52
As (0.5000, 0.5000, 0.5000)  4 Tl 3.14, 8 Na 3.36
H (0.0000, 0.0000, 0.0000)  4 Na 2.22

---

5.
Na2TlAsH: optimized geometry, PBE.

Properties
Offset from the most stable computed form, meV per atom: 44
DFT total energy, eV per atom: -2.693
Crystal system: tetragonal
Space group: P4/mmm
Density, g/cm³: 5.4

Cell lengths 4.9952, 4.9952, 4.0511 Å; angles 90.00, 90.00, 90.00 degrees
With the nearest neighbours (Å) after each atom.
Sites, in units of the cell vectors:
Na (0.0000, 0.5000, 0.0000)  2 H 2.50
Na (0.5000, 0.0000, 0.0000)  2 H 2.50
Tl (0.5000, 0.5000, 0.5000)  8 Na 3.22, 4 As 3.53
As (0.0000, 0.0000, 0.5000)  2 H 2.03
H (0.0000, 0.0000, 0.0000)  2 As 2.03

---

6.
NaZnAsH: optimized geometry, PBE.

Properties
DFT total energy, eV per atom: -2.809
Crystal system: monoclinic
Space group: Cm
Density, g/cm³: 3.8

Cell lengths 3.2735, 3.8906, 6.1885 Å; angles 94.13, 90.00, 114.88 degrees
With the nearest neighbours (Å) after each atom.
Sites, in units of the cell vectors:
Na (0.5696, 0.1392, 0.3622)  3 H 2.31-2.41
Zn (0.2262, 0.4524, 0.9410)  1 H 1.64
As (0.9128, 0.8256, 0.7284)  3 Zn 2.48-2.53
H (0.2457, 0.4915, 0.2074)  1 Zn 1.64

---

7.
NbAs2H: optimized geometry, PBE.

Properties
Offset from the most stable computed form, meV per atom: 313
DFT total energy, eV per atom: -5.190
Crystal system: cubic
Space group: Fm-3m
Density, g/cm³: 6.5

Cell lengths 4.4544, 4.4544, 4.4544 Å; angles 60.00, 60.00, 60.00 degrees
With the nearest neighbours (Å) after each atom.
Sites, in units of the cell vectors:
H (0.0000, 0.0000, 0.0000)  8 As 2.73
Nb (0.5000, 0.5000, 0.5000)  8 As 2.73
As (0.2500, 0.2500, 0.2500)  4 H 2.73, 4 Nb 2.73
As (0.7500, 0.7500, 0.7500)  4 Nb 2.73, 4 H 2.73

---

8.
Nb3AsH: optimized geometry, PBE.

Properties
Offset from the most stable computed form, meV per atom: 0
DFT total energy, eV per atom: -7.831
Crystal system: cubic
Space group: Pm-3m
Density, g/cm³: 8.3

Cell lengths 4.1451, 4.1451, 4.1451 Å; angles 90.00, 90.00, 90.00 degrees
With the nearest neighbours (Å) after each atom.
Sites, in units of the cell vectors:
H (0.0000, 0.0000, 0.0000)  6 Nb 2.07
Nb (0.0000, 0.5000, 0.0000)  2 H 2.07
Nb (0.0000, 0.0000, 0.5000)  2 H 2.07
Nb (0.5000, 0.0000, 0.0000)  2 H 2.07
As (0.5000, 0.5000, 0.5000)  12 Nb 2.93

---

9.
Nb4AsH2: optimized geometry, PBE.

Properties
DFT total energy, eV per atom: -6.898
Crystal system: tetragonal
Space group: I4/mmm
Density, g/cm³: 6.9

Cell lengths 4.7014, 4.7014, 5.9225 Å; angles 66.61, 66.61, 90.00 degrees
With the nearest neighbours (Å) after each atom.
Sites, in units of the cell vectors:
H (0.5596, 0.5596, 0.8808)  1 H 1.17
H (0.4404, 0.4404, 0.1192)  1 H 1.17
Nb (0.7425, 0.7425, 0.5150)  1 H 1.79
Nb (0.2575, 0.2575, 0.4850)  1 H 1.79
Nb (0.0000, 0.5000, 0.0000)  2 As 2.35, 4 H 2.42
Nb (0.5000, 0.0000, 0.0000)  2 As 2.35, 4 H 2.42
As (0.0000, 0.0000, 0.0000)  6 Nb 2.35-2.52

---

10.
NbAsH: optimized geometry, PBE.

Properties
Offset from the most stable computed form, meV per atom: 175
DFT total energy, eV per atom: -6.269
Crystal system: monoclinic
Space group: P2_1/c
Density, g/cm³: 7.2

Cell lengths 6.0134, 4.8524, 5.5052 Å; angles 103.12, 90.00, 90.00 degrees
With the nearest neighbours (Å) after each atom.
Sites, in units of the cell vectors:
H (0.1165, 0.6699, 0.1529)  3 Nb 1.93-2.02
H (0.3835, 0.6699, 0.6529)  3 Nb 1.93-2.02
H (0.6165, 0.3301, 0.3471)  3 Nb 1.93-2.02
H (0.8835, 0.3301, 0.8471)  3 Nb 1.93-2.02
Nb (0.4083, 0.6151, 0.2800)  3 H 1.93-2.02
Nb (0.0917, 0.6151, 0.7800)  3 H 1.93-2.02
Nb (0.9083, 0.3849, 0.2200)  3 H 1.93-2.02
Nb (0.5917, 0.3849, 0.7200)  3 H 1.93-2.02
As (0.7330, 0.8550, 0.0731)  3 H 2.55-2.72, 5 Nb 2.66-2.79, 2 As 2.76
As (0.7670, 0.8550, 0.5731)  3 H 2.55-2.72, 5 Nb 2.66-2.79, 2 As 2.76
As (0.2330, 0.1450, 0.4269)  3 H 2.55-2.72, 5 Nb 2.66-2.79, 2 As 2.76
As (0.2670, 0.1450, 0.9269)  3 H 2.55-2.72, 5 Nb 2.66-2.79, 2 As 2.76

---

11.
NbAsH: optimized geometry, PBE.

Properties
Offset from the most stable computed form, meV per atom: 0
DFT total energy, eV per atom: -6.444
Crystal system: hexagonal
Space group: P-6m2
Density, g/cm³: 7.5

Cell lengths 3.5255, 3.5106, 3.5106 Å; angles 120.00, 90.00, 90.00 degrees
With the nearest neighbours (Å) after each atom.
Sites, in units of the cell vectors:
H (0.1663, 0.0000, 0.0000)  3 Nb 2.03
Nb (0.1669, 0.6667, 0.3333)  3 H 2.03
As (0.6668, 0.3333, 0.6667)  6 H 2.68-2.69, 6 Nb 2.69

---

12.
NbAsH3: optimized geometry, PBE.

Properties
Offset from the most stable computed form, meV per atom: 564
DFT total energy, eV per atom: -4.072
Crystal system: cubic
Space group: Pm-3m
Density, g/cm³: 6.2

Cell lengths 3.5851, 3.5851, 3.5851 Å; angles 90.00, 90.00, 90.00 degrees
With the nearest neighbours (Å) after each atom.
Sites, in units of the cell vectors:
H (0.0000, 0.5000, 0.0000)  2 As 1.79
H (0.0000, 0.0000, 0.5000)  2 As 1.79
H (0.5000, 0.0000, 0.0000)  2 As 1.79
Nb (0.5000, 0.5000, 0.5000)  12 H 2.54
As (0.0000, 0.0000, 0.0000)  6 H 1.79

---

13.
NbAsH2: optimized geometry, PBE.

Properties
Offset from the most stable computed form, meV per atom: 261
DFT total energy, eV per atom: -4.764
Crystal system: cubic
Space group: Fm-3m
Density, g/cm³: 6.8

Cell lengths 3.8807, 3.8807, 3.8807 Å; angles 60.00, 60.00, 60.00 degrees
With the nearest neighbours (Å) after each atom.
Sites, in units of the cell vectors:
H (0.2500, 0.2500, 0.2500)  4 Nb 2.38, 4 As 2.38
H (0.7500, 0.7500, 0.7500)  4 As 2.38, 4 Nb 2.38
Nb (0.5000, 0.5000, 0.5000)  8 H 2.38
As (0.0000, 0.0000, 0.0000)  8 H 2.38

---

14.
Nb3AsH: optimized geometry, PBE.

Properties
Offset from the most stable computed form, meV per atom: 89
DFT total energy, eV per atom: -7.741
Crystal system: monoclinic
Space group: C2/m
Density, g/cm³: 7.5

Cell lengths 3.3896, 6.7431, 7.1000 Å; angles 94.29, 103.81, 90.00 degrees
With the nearest neighbours (Å) after each atom.
Sites, in units of the cell vectors:
Nb (0.9856, 0.7441, 0.9712)  2 H 2.16
Nb (0.0144, 0.2559, 0.0288)  2 H 2.16
Nb (0.3790, 0.0441, 0.7580)  1 H 2.00
Nb (0.6210, 0.9559, 0.2420)  1 H 2.00
Nb (0.1695, 0.6034, 0.3390)  2 H 2.22
Nb (0.8305, 0.3966, 0.6610)  2 H 2.22
As (0.7961, 0.7711, 0.5922)  7 Nb 2.61-2.80
As (0.2039, 0.2289, 0.4078)  7 Nb 2.61-2.80
H (0.5727, 0.6684, 0.1453)  5 Nb 2.00-2.22
H (0.4273, 0.3316, 0.8547)  5 Nb 2.00-2.22

---

15.
Nb2AsH2: optimized geometry, PBE.

Properties
DFT total energy, eV per atom: -6.604
Crystal system: tetragonal
Space group: I4/mmm
Density, g/cm³: 7.6

Cell lengths 3.2429, 3.2429, 5.8942 Å; angles 74.03, 74.03, 90.00 degrees
With the nearest neighbours (Å) after each atom.
Sites, in units of the cell vectors:
H (0.7500, 0.2500, 0.5000)  4 Nb 2.01
H (0.2500, 0.7500, 0.5000)  4 Nb 2.01
Nb (0.3601, 0.3601, 0.2799)  4 H 2.01
Nb (0.6399, 0.6399, 0.7201)  4 H 2.01
As (0.0000, 0.0000, 0.0000)  8 Nb 2.75

---

16.
NbAsH3: optimized geometry, PBE.

Properties
Offset from the most stable computed form, meV per atom: 0
DFT total energy, eV per atom: -4.636
Crystal system: cubic
Space group: Pm-3m
Density, g/cm³: 5.8

Cell lengths 3.6635, 3.6635, 3.6635 Å; angles 90.00, 90.00, 90.00 degrees
With the nearest neighbours (Å) after each atom.
Sites, in units of the cell vectors:
H (0.0000, 0.5000, 0.0000)  2 Nb 1.83
H (0.0000, 0.0000, 0.5000)  2 Nb 1.83
H (0.5000, 0.0000, 0.0000)  2 Nb 1.83
Nb (0.0000, 0.0000, 0.0000)  6 H 1.83
As (0.5000, 0.5000, 0.5000)  12 H 2.59

---

17.
NbAs2H: optimized geometry, PBE.

Properties
Offset from the most stable computed form, meV per atom: 0
DFT total energy, eV per atom: -5.503
Crystal system: tetragonal
Space group: I-42d
Density, g/cm³: 7.1

Cell lengths 6.0540, 6.0540, 5.2889 Å; angles 55.09, 55.09, 90.00 degrees
With the nearest neighbours (Å) after each atom.
Sites, in units of the cell vectors:
H (0.5000, 0.5000, 0.0000)  4 As 1.95
H (0.2500, 0.7500, 0.5000)  4 As 1.95
Nb (0.0000, 0.0000, 0.0000)  8 As 2.67-2.94
Nb (0.7500, 0.2500, 0.5000)  8 As 2.67-2.94
As (0.5342, 0.1250, 0.2500)  2 H 1.95
As (0.2158, 0.6250, 0.2500)  2 H 1.95
As (0.3750, 0.4658, 0.7500)  2 H 1.95
As (0.8750, 0.7842, 0.7500)  2 H 1.95

---

18.
NbAsH2: optimized geometry, PBE.

Properties
Offset from the most stable computed form, meV per atom: 0
DFT total energy, eV per atom: -5.026
Crystal system: tetragonal
Space group: I-42d
Density, g/cm³: 6.1

Cell lengths 4.7638, 4.7638, 5.2937 Å; angles 63.26, 63.26, 90.00 degrees
With the nearest neighbours (Å) after each atom.
Sites, in units of the cell vectors:
H (0.6826, 0.1250, 0.2500)  2 Nb 1.82
H (0.0674, 0.6250, 0.2500)  2 Nb 1.82
H (0.3750, 0.3174, 0.7500)  2 Nb 1.82
H (0.8750, 0.9326, 0.7500)  2 Nb 1.82
Nb (0.0000, 0.0000, 0.0000)  4 H 1.82
Nb (0.7500, 0.2500, 0.5000)  4 H 1.82
As (0.5000, 0.5000, 0.0000)  4 H 2.15
As (0.2500, 0.7500, 0.5000)  4 H 2.15

---

19.
NbAsH: optimized geometry, PBE.

Properties
Offset from the most stable computed form, meV per atom: 176
DFT total energy, eV per atom: -6.268
Crystal system: orthorhombic
Space group: Pnma
Density, g/cm³: 7.4

Cell lengths 3.3761, 5.9577, 7.5615 Å; angles 90.00, 90.00, 90.00 degrees
With the nearest neighbours (Å) after each atom.
Sites, in units of the cell vectors:
Nb (0.7500, 0.4177, 0.2680)  3 H 1.97-1.98
Nb (0.7500, 0.0823, 0.7680)  3 H 1.97-1.98
Nb (0.2500, 0.9177, 0.2320)  3 H 1.97-1.98
Nb (0.2500, 0.5823, 0.7320)  3 H 1.97-1.98
As (0.2500, 0.2759, 0.0050)  6 H 2.64-2.87, 6 Nb 2.72-2.76
As (0.2500, 0.2241, 0.5050)  6 H 2.64-2.87, 6 Nb 2.72-2.76
As (0.7500, 0.7759, 0.4950)  6 H 2.64-2.87, 6 Nb 2.72-2.76
As (0.7500, 0.7241, 0.9950)  6 H 2.64-2.87, 6 Nb 2.72-2.76
H (0.2500, 0.9142, 0.7549)  3 Nb 1.97-1.98
H (0.2500, 0.5858, 0.2549)  3 Nb 1.97-1.98
H (0.7500, 0.4142, 0.7451)  3 Nb 1.97-1.98
H (0.7500, 0.0858, 0.2451)  3 Nb 1.97-1.98

---

20.
NbAsHPd2: optimized geometry, PBE.

Properties
DFT total energy, eV per atom: -5.384
Crystal system: tetragonal
Space group: P4/mmm
Density, g/cm³: 8.3

Cell lengths 4.9632, 3.1085, 4.9632 Å; angles 90.00, 90.00, 90.00 degrees
With the nearest neighbours (Å) after each atom.
Sites, in units of the cell vectors:
H (0.0000, 0.5000, 0.0000)  2 As 1.55
Nb (0.5000, 0.5000, 0.5000)  8 Pd 2.93, 2 Nb 3.11
As (0.0000, 0.0000, 0.0000)  2 H 1.55
Pd (0.0000, 0.0000, 0.5000)  2 As 2.48
Pd (0.5000, 0.0000, 0.0000)  2 As 2.48